TbB4Rh: relaxed, GGA-PBE.

Output
SG ... Pbam (55)
Fermi-level density of states ... 4.601 states/eV/cell
DFT formation energy ... -0.610 eV per atom
Total magnetic moment ... 0.00 Bohr magnetons per cell

The structure in POSCAR format:
```
TbB4Rh
1.0
5.9736 0.0000 0.0000
0.0000 11.5809 0.0000
0.0000 0.0000 3.5824
Tb B Rh
4 16 4
Direct
0.1308 0.1489 0.0000 Tb
0.3692 0.6489 0.0000 Tb
0.6308 0.3511 0.0000 Tb
0.8692 0.8511 0.0000 Tb
0.0228 0.6925 0.5000 B
0.1120 0.5468 0.5000 B
0.1365 0.9689 0.5000 B
0.2108 0.8131 0.5000 B
0.2892 0.3131 0.5000 B
0.3635 0.4689 0.5000 B
0.3880 0.0468 0.5000 B
0.4772 0.1925 0.5000 B
0.5228 0.8075 0.5000 B
0.6120 0.9532 0.5000 B
0.6365 0.5311 0.5000 B
0.7108 0.6869 0.5000 B
0.7892 0.1869 0.5000 B
0.8635 0.0311 0.5000 B
0.8880 0.4532 0.5000 B
0.9772 0.3075 0.5000 B
0.1414 0.4056 0.0000 Rh
0.3586 0.9056 0.0000 Rh
0.6414 0.0944 0.0000 Rh
0.8586 0.5944 0.0000 Rh
```

***

TbB4Rh4: relaxed, GGA-PBE.

Output
SG ... P4_2/n (86)
Fermi-level density of states ... 5.508 states/eV/cell
DFT formation energy ... -0.584 eV per atom
Total magnetic moment ... 0.00 Bohr magnetons per cell

The structure in POSCAR format:
```
TbB4Rh4
1.0
7.5025 0.0000 0.0000
0.0000 7.5025 0.0000
0.0000 0.0000 4.0330
Tb B Rh
2 8 8
Direct
0.2500 0.2500 0.2500 Tb
0.7500 0.7500 0.7500 Tb
0.0388 0.9124 0.1397 B
0.0876 0.5388 0.6397 B
0.4124 0.9612 0.6397 B
0.4612 0.5876 0.1397 B
0.5388 0.4124 0.8603 B
0.5876 0.0388 0.3603 B
0.9124 0.4612 0.3603 B
0.9612 0.0876 0.8603 B
0.0939 0.6384 0.1384 Rh
0.1384 0.9061 0.6384 Rh
0.3616 0.5939 0.6384 Rh
0.4061 0.8616 0.1384 Rh
0.5939 0.1384 0.8616 Rh
0.6384 0.4061 0.3616 Rh
0.8616 0.0939 0.3616 Rh
0.9061 0.3616 0.8616 Rh
```

***

TbB4Rh6: relaxed, GGA-PBE.

Output
SG ... I-42m (121)
Fermi-level density of states ... 6.863 states/eV/cell
DFT formation energy ... -0.364 eV per atom
Total magnetic moment ... 0.00 Bohr magnetons per cell

The structure in POSCAR format:
```
TbB4Rh6
1.0
-2.8515 2.8515 4.1288
2.8515 -2.8515 4.1288
2.8515 2.8515 -4.1288
Tb B Rh
1 4 6
Direct
0.0000 0.0000 0.0000 Tb
0.2787 0.2787 0.7020 B
0.4233 0.7213 0.0000 B
0.5767 0.5767 0.2980 B
0.7213 0.4233 0.0000 B
0.0000 0.5000 0.5000 Rh
0.1050 0.4718 0.0000 Rh
0.4718 0.1050 0.0000 Rh
0.5000 0.0000 0.5000 Rh
0.5282 0.5282 0.6332 Rh
0.8950 0.8950 0.3668 Rh
```

***

TbBRh: relaxed, GGA-PBE.

Output
Distance to the lowest polymorph of the same formula ... 0.0186 eV per atom
SG ... P-6m2 (187)
Fermi-level density of states ... 1.929 states/eV/cell
DFT formation energy ... -0.569 eV per atom
Total magnetic moment ... 0.00 Bohr magnetons per cell

The structure in POSCAR format:
```
TbBRh
1.0
3.7188 0.0000 0.0000
-1.8594 3.2206 0.0000
0.0000 0.0000 4.1382
Tb B Rh
1 1 1
Direct
0.0000 0.0000 0.0000 Tb
0.3333 0.6667 0.5000 B
0.6667 0.3333 0.5000 Rh
```

***

TbB2Rh5: relaxed, GGA-PBE.

Output
SG ... Immm (71)
Fermi-level density of states ... 6.023 states/eV/cell
DFT formation energy ... -0.466 eV per atom
Total magnetic moment ... 0.00 Bohr magnetons per cell

The structure in POSCAR format:
```
TbB2Rh5
1.0
-1.9426 2.9163 4.9063
1.9426 -2.9163 4.9063
1.9426 2.9163 -4.9063
Tb B Rh
1 2 5
Direct
0.0000 0.0000 0.0000 Tb
0.2872 0.7872 0.5000 B
0.7128 0.2128 0.5000 B
0.1241 0.3490 0.7751 Rh
0.4261 0.6510 0.7751 Rh
0.5000 0.0000 0.5000 Rh
0.5739 0.3490 0.2249 Rh
0.8759 0.6510 0.2249 Rh
```

***

TbB4Rh12: relaxed, GGA-PBE.

Output
SG ... Im-3 (204)
Fermi-level density of states ... 28.675 states/eV/cell
DFT formation energy ... -0.134 eV per atom
Total magnetic moment ... 0.00 Bohr magnetons per cell

The structure in POSCAR format:
```
TbB4Rh12
1.0
-3.8857 3.8857 3.8857
3.8857 -3.8857 3.8857
3.8857 3.8857 -3.8857
Tb B Rh
1 4 12
Direct
0.0000 0.0000 0.0000 Tb
0.0000 0.0000 0.5000 B
0.0000 0.5000 0.0000 B
0.5000 0.0000 0.0000 B
0.5000 0.5000 0.5000 B
0.1488 0.8276 0.3212 Rh
0.1724 0.3212 0.4936 Rh
0.1724 0.6788 0.8512 Rh
0.3212 0.1488 0.8276 Rh
0.3212 0.4936 0.1724 Rh
0.4936 0.1724 0.3212 Rh
0.5064 0.8276 0.6788 Rh
0.6788 0.5064 0.8276 Rh
0.6788 0.8512 0.1724 Rh
0.8276 0.3212 0.1488 Rh
0.8276 0.6788 0.5064 Rh
0.8512 0.1724 0.6788 Rh
```